Model i:
# KLaCl4

KLaCl4 after structural relaxation (PBE, Alexandria via LeMat-Bulk).

Summary:
- crystal system = orthorhombic
- spin magnetization (μB/f.u.) = 0.0

The structure in POSCAR format:
```
KLaCl4
1.0
4.438 0.000 0.000
0.000 7.658 0.000
0.000 0.000 19.365
Cl K La
16 4 4
Direct
0.750 0.407 0.302
0.250 0.090 0.362
0.750 0.490 0.563
0.250 0.093 0.802
0.250 0.642 0.964
0.250 0.010 0.063
0.250 0.510 0.437
0.250 0.593 0.698
0.750 0.907 0.198
0.750 0.858 0.464
0.750 0.990 0.937
0.750 0.910 0.638
0.250 0.142 0.536
0.250 0.590 0.138
0.750 0.358 0.036
0.750 0.410 0.862
0.750 0.288 0.706
0.250 0.212 0.206
0.250 0.712 0.294
0.750 0.788 0.794
0.750 0.248 0.438
0.250 0.252 0.938
0.750 0.748 0.062
0.250 0.752 0.562
```



Model ii:
# KLaCl4

KLaCl4 after structural relaxation (PBE, Alexandria via LeMat-Bulk).

Summary:
- crystal system = cubic
- spin magnetization (μB/f.u.) = 0.2

The structure in POSCAR format:
```
KLaCl4
1.0
-3.605 -4.866 0.548
-4.868 0.217 3.637
-5.587 0.070 -2.399
Cl La K
4 1 1
Direct
0.875 0.375 0.375
0.375 0.875 0.375
0.375 0.375 0.875
0.375 0.375 0.375
0.000 0.000 0.000
0.750 0.750 0.750
```



Model iii:
# KLaCl4

KLaCl4 after structural relaxation (PBE, Alexandria via LeMat-Bulk).

Summary:
- crystal system = monoclinic
- spin magnetization (μB/f.u.) = 0.0

The structure in POSCAR format:
```
KLaCl4
1.0
7.272 0.042 0.000
-1.812 7.914 0.000
-2.730 -3.978 6.752
Cl La K
8 2 2
Direct
0.613 0.330 0.115
0.998 0.216 0.885
0.387 0.670 0.885
0.002 0.784 0.115
0.797 0.739 0.680
0.616 0.058 0.320
0.203 0.261 0.320
0.384 0.942 0.680
0.763 0.013 0.027
0.237 0.987 0.973
0.611 0.361 0.721
0.389 0.639 0.279
```



Which of them is most stable? Easy: model i.



Model i:
# KLaP2Cl

KLaP2Cl after structural relaxation (PBE, Alexandria via LeMat-Bulk).

Summary:
- crystal system = tetragonal
- spin magnetization (μB/f.u.) = 0.8

The structure in POSCAR format:
```
KLaP2Cl
1.0
-5.402 -1.525 0.121
1.424 -5.175 -1.647
0.569 -1.582 5.463
P Cl K La
2 1 1 1
Direct
0.500 0.000 0.000
0.000 0.500 0.000
0.000 0.000 0.500
0.500 0.500 0.500
0.000 0.000 0.000
```



Model ii:
# KLaP2Cl

KLaP2Cl after structural relaxation (PBE, Alexandria via LeMat-Bulk).

Summary:
- crystal system = tetragonal
- spin magnetization (μB/f.u.) = 0.4

The structure in POSCAR format:
```
KLaP2Cl
1.0
-4.330 -1.871 2.086
2.436 -0.616 4.505
-1.409 4.850 1.426
Cl P K La
1 2 1 1
Direct
0.000 0.000 0.500
0.500 0.000 0.000
0.000 0.500 0.000
0.000 0.000 0.000
0.500 0.500 0.500
```



Which of them is most stable? Easy: model i.